# 1
Compound: LiGdDyNi
Source: Alexandria via LeMat-Bulk
Functional: PBE-GGA
Structure: relaxed Values from VASP.

```
&SYSTEM
  ibrav = 0, nat = 4, ntyp = 4
/
ATOMIC_SPECIES
Li 6.94 Li.upf
Gd 157.25 Gd.upf
Dy 162.50 Dy.upf
Ni 58.69 Ni.upf
CELL_PARAMETERS angstrom
0.0000 3.4976 3.4976
3.4976 0.0000 3.4976
3.4976 3.4976 0.0000
ATOMIC_POSITIONS angstrom
Li 0.0000 0.0000 0.0000
Gd 5.2464 5.2464 5.2464
Dy 1.7488 1.7488 1.7488
Ni 3.4976 3.4976 3.4976
```

Summary:
calculated total energy: -26.86 eV/f.u.
E_form: -0.1214 eV/atom
crystal system: cubic
magnetic moment: 7.2 μB/f.u.

# 2
Compound: ZnPdCl4
Source: Alexandria via LeMat-Bulk
Functional: PBE-GGA
Structure: relaxed Values from VASP.

```
&SYSTEM
  ibrav = 0, nat = 12, ntyp = 3
/
ATOMIC_SPECIES
Zn 65.41 Zn.upf
Pd 106.42 Pd.upf
Cl 35.45 Cl.upf
CELL_PARAMETERS angstrom
5.2382 -3.5919 0.0000
5.2382 3.5919 0.0000
-0.0549 0.0000 7.3461
ATOMIC_POSITIONS angstrom
Zn 2.6191 1.7959 0.0000
Zn 2.5917 -1.7959 3.6731
Pd 5.2245 3.5918 1.8365
Pd 5.1970 -3.5918 5.5096
Cl 4.9687 1.8335 7.3461
Cl 2.4921 0.0000 1.8852
Cl 2.4647 0.0000 5.5583
Cl 5.4253 1.8335 3.6731
Cl 4.9961 -1.8335 3.6731
Cl 7.9568 0.0000 1.7878
Cl 7.9294 0.0000 5.4609
Cl 5.4528 -1.8335 0.0000
```

Summary:
calculated total energy: -17.68 eV/f.u.
crystal system: monoclinic
magnetic moment: 2.0 μB/f.u.
uncorrected formation energy: -638 meV per atom

# 3
Compound: ZrMnNiPb2
Source: Alexandria via LeMat-Bulk
Functional: PBE-GGA
Structure: relaxed Values from VASP.

```
&SYSTEM
  ibrav = 0, nat = 5, ntyp = 4
/
ATOMIC_SPECIES
Zr 91.22 Zr.upf
Mn 54.94 Mn.upf
Ni 58.69 Ni.upf
Pb 207.20 Pb.upf
CELL_PARAMETERS angstrom
5.0304 0.0000 0.0000
0.0000 5.0304 0.0000
0.0000 0.0000 4.6333
ATOMIC_POSITIONS angstrom
Zr 0.0000 0.0000 0.0000
Mn 0.0000 0.0000 2.3167
Ni 2.5152 2.5152 0.0000
Pb 0.0000 2.5152 2.3167
Pb 2.5152 0.0000 2.3167
```

Summary:
calculated total energy: -27.51 eV/f.u.
E_form: 0.6816 eV/atom
crystal system: tetragonal
magnetic moment: 0.1 μB/f.u.
distance to the lowest polymorph of the same formula: 0.00 eV/f.u.